(1)
# AcHo6Tm12 (PBE, relaxed)
data_AcHo6Tm12
_chemical_formula_sum 'Ac1 Ho6 Tm12'
_cell_length_a 9.152
_cell_length_b 9.152
_cell_length_c 9.152
_cell_angle_alpha 106.81
_cell_angle_beta 106.81
_cell_angle_gamma 106.81
_symmetry_space_group_name_H-M 'P 1'
_symmetry_Int_Tables_number 1
_symmetry_space_group_name_Hall 'P 1'
loop_
_atom_site_label
_atom_site_fract_x
_atom_site_fract_y
_atom_site_fract_z
Ac1 0.000 0.000 0.000
Ho1 0.272 0.698 0.698
Ho2 0.302 0.302 0.728
Ho3 0.302 0.728 0.302
Ho4 0.698 0.272 0.698
Ho5 0.698 0.698 0.272
Ho6 0.728 0.302 0.302
Tm1 0.112 0.500 0.888
Tm2 0.112 0.888 0.500
Tm3 0.151 0.376 0.376
Tm4 0.376 0.151 0.376
Tm5 0.376 0.376 0.151
Tm6 0.500 0.112 0.888
Tm7 0.500 0.888 0.112
Tm8 0.624 0.624 0.849
Tm9 0.624 0.849 0.624
Tm10 0.849 0.624 0.624
Tm11 0.888 0.112 0.500
Tm12 0.888 0.500 0.112
# Calculated formation energy, eV per atom: 0.42
# E, eV for the cell shown: -77.2
# V, Å³ per atom: 33.8



(2)
# AcHo12Tm2 (PBE, relaxed)
data_AcHo12Tm2
_chemical_formula_sum 'Ac1 Ho12 Tm2'
_cell_length_a 3.572
_cell_length_b 5.556
_cell_length_c 24.296
_cell_angle_alpha 90.00
_cell_angle_beta 94.21
_cell_angle_gamma 90.00
_symmetry_space_group_name_H-M 'P 1'
_symmetry_Int_Tables_number 1
_symmetry_space_group_name_Hall 'P 1'
loop_
_atom_site_label
_atom_site_fract_x
_atom_site_fract_y
_atom_site_fract_z
Ac1 0.000 0.000 0.000
Ho1 0.071 0.000 0.143
Ho2 0.100 0.500 0.205
Ho3 0.166 0.500 0.332
Ho4 0.215 0.000 0.426
Ho5 0.276 0.500 0.555
Ho6 0.462 0.500 0.921
Ho7 0.538 0.500 0.079
Ho8 0.724 0.500 0.445
Ho9 0.785 0.000 0.574
Ho10 0.834 0.500 0.668
Ho11 0.900 0.500 0.795
Ho12 0.929 0.000 0.857
Tm1 0.364 0.000 0.726
Tm2 0.636 0.000 0.274
# Calculated formation energy, eV per atom: 0.12
# E, eV for the cell shown: -66.2
# V, Å³ per atom: 32.1



(3)
# AcHo2Tm6 (PBE, relaxed)
data_AcHo2Tm6
_chemical_formula_sum 'Ac1 Ho2 Tm6'
_cell_length_a 3.599
_cell_length_b 3.599
_cell_length_c 26.021
_cell_angle_alpha 90.00
_cell_angle_beta 90.00
_cell_angle_gamma 120.00
_symmetry_space_group_name_H-M 'P 1'
_symmetry_Int_Tables_number 1
_symmetry_space_group_name_Hall 'P 1'
loop_
_atom_site_label
_atom_site_fract_x
_atom_site_fract_y
_atom_site_fract_z
Ac1 0.000 0.000 0.000
Ho1 0.333 0.667 0.331
Ho2 0.333 0.667 0.669
Tm1 0.000 0.000 0.224
Tm2 0.000 0.000 0.436
Tm3 0.000 0.000 0.564
Tm4 0.000 0.000 0.776
Tm5 0.333 0.667 0.119
Tm6 0.333 0.667 0.881
# Calculated formation energy, eV per atom: 0.08
# E, eV for the cell shown: -39.3
# Distance to the lowest polymorph of the same formula, eV/f.u.: 0.25
# V, Å³ per atom: 32.4



(4)
# Ac4HoTm (PBE, relaxed)
data_Ac4HoTm
_chemical_formula_sum 'Ac4 Ho1 Tm1'
_cell_length_a 3.716
_cell_length_b 5.761
_cell_length_c 11.320
_cell_angle_alpha 90.00
_cell_angle_beta 90.00
_cell_angle_gamma 90.00
_symmetry_space_group_name_H-M 'P 1'
_symmetry_Int_Tables_number 1
_symmetry_space_group_name_Hall 'P 1'
loop_
_atom_site_label
_atom_site_fract_x
_atom_site_fract_y
_atom_site_fract_z
Ac1 0.000 0.000 0.155
Ac2 0.000 0.000 0.845
Ac3 0.000 0.500 0.344
Ac4 0.000 0.500 0.656
Ho1 0.500 0.000 0.500
Tm1 0.500 0.500 0.000
# Calculated formation energy, eV per atom: 0.18
# E, eV for the cell shown: -24.4
# V, Å³ per atom: 40.4



(5)
# Ac8Ho2Tm3 (PBE, relaxed)
data_Ac8Ho2Tm3
_chemical_formula_sum 'Ac8 Ho2 Tm3'
_cell_length_a 11.099
_cell_length_b 11.099
_cell_length_c 6.086
_cell_angle_alpha 90.00
_cell_angle_beta 90.00
_cell_angle_gamma 134.78
_symmetry_space_group_name_H-M 'P 1'
_symmetry_Int_Tables_number 1
_symmetry_space_group_name_Hall 'P 1'
loop_
_atom_site_label
_atom_site_fract_x
_atom_site_fract_y
_atom_site_fract_z
Ac1 0.125 0.875 0.000
Ac2 0.190 0.400 0.500
Ac3 0.324 0.676 0.000
Ac4 0.400 0.190 0.500
Ac5 0.600 0.810 0.500
Ac6 0.676 0.324 0.000
Ac7 0.810 0.600 0.500
Ac8 0.875 0.125 0.000
Ho1 0.237 0.763 0.500
Ho2 0.763 0.237 0.500
Tm1 0.000 0.000 0.500
Tm2 0.301 0.301 0.000
Tm3 0.699 0.699 0.000
# Calculated formation energy, eV per atom: 0.23
# E, eV for the cell shown: -52.4
# V, Å³ per atom: 40.9



(6)
# AcHoTm2 (PBE, relaxed)
data_AcHoTm2
_chemical_formula_sum 'Ac1 Ho1 Tm2'
_cell_length_a 12.727
_cell_length_b 12.727
_cell_length_c 12.727
_cell_angle_alpha 16.00
_cell_angle_beta 16.00
_cell_angle_gamma 16.00
_symmetry_space_group_name_H-M 'P 1'
_symmetry_Int_Tables_number 1
_symmetry_space_group_name_Hall 'P 1'
loop_
_atom_site_label
_atom_site_fract_x
_atom_site_fract_y
_atom_site_fract_z
Ac1 0.000 0.000 0.000
Ho1 0.500 0.500 0.500
Tm1 0.093 0.093 0.093
Tm2 0.907 0.907 0.907
# Calculated formation energy, eV per atom: 0.20
# E, eV for the cell shown: -16.8
# Distance to the lowest polymorph of the same formula, eV/f.u.: 0.58
# V, Å³ per atom: 34.1



(7)
# AcHo2Tm6 (PBE, relaxed)
data_AcHo2Tm6
_chemical_formula_sum 'Ac1 Ho2 Tm6'
_cell_length_a 6.598
_cell_length_b 6.598
_cell_length_c 12.938
_cell_angle_alpha 105.58
_cell_angle_beta 105.58
_cell_angle_gamma 32.30
_symmetry_space_group_name_H-M 'P 1'
_symmetry_Int_Tables_number 1
_symmetry_space_group_name_Hall 'P 1'
loop_
_atom_site_label
_atom_site_fract_x
_atom_site_fract_y
_atom_site_fract_z
Ac1 0.000 0.000 0.000
Ho1 0.324 0.324 0.738
Ho2 0.676 0.676 0.262
Tm1 0.035 0.035 0.688
Tm2 0.302 0.302 0.110
Tm3 0.356 0.356 0.480
Tm4 0.644 0.644 0.520
Tm5 0.698 0.698 0.890
Tm6 0.965 0.965 0.312
# Calculated formation energy, eV per atom: 0.06
# E, eV for the cell shown: -39.6
# Distance to the lowest polymorph of the same formula, eV/f.u.: 0.00
# V, Å³ per atom: 32.1



(8)
# AcHo12Tm6 (PBE, relaxed)
data_AcHo12Tm6
_chemical_formula_sum 'Ac1 Ho12 Tm6'
_cell_length_a 9.174
_cell_length_b 9.174
_cell_length_c 9.174
_cell_angle_alpha 106.82
_cell_angle_beta 106.82
_cell_angle_gamma 106.82
_symmetry_space_group_name_H-M 'P 1'
_symmetry_Int_Tables_number 1
_symmetry_space_group_name_Hall 'P 1'
loop_
_atom_site_label
_atom_site_fract_x
_atom_site_fract_y
_atom_site_fract_z
Ac1 0.000 0.000 0.000
Ho1 0.112 0.500 0.888
Ho2 0.112 0.888 0.500
Ho3 0.154 0.379 0.379
Ho4 0.379 0.154 0.379
Ho5 0.379 0.379 0.154
Ho6 0.500 0.112 0.888
Ho7 0.500 0.888 0.112
Ho8 0.621 0.621 0.846
Ho9 0.621 0.846 0.621
Ho10 0.846 0.621 0.621
Ho11 0.888 0.112 0.500
Ho12 0.888 0.500 0.112
Tm1 0.273 0.699 0.699
Tm2 0.301 0.301 0.727
Tm3 0.301 0.727 0.301
Tm4 0.699 0.273 0.699
Tm5 0.699 0.699 0.273
Tm6 0.727 0.301 0.301
# Calculated formation energy, eV per atom: 0.42
# E, eV for the cell shown: -78.0
# V, Å³ per atom: 34.0



(9)
# AcHo3Tm7 (PBE, relaxed)
data_AcHo3Tm7
_chemical_formula_sum 'Ac1 Ho3 Tm7'
_cell_length_a 7.025
_cell_length_b 7.025
_cell_length_c 8.601
_cell_angle_alpha 90.00
_cell_angle_beta 90.00
_cell_angle_gamma 120.00
_symmetry_space_group_name_H-M 'P 1'
_symmetry_Int_Tables_number 1
_symmetry_space_group_name_Hall 'P 1'
loop_
_atom_site_label
_atom_site_fract_x
_atom_site_fract_y
_atom_site_fract_z
Ac1 0.000 0.000 0.000
Ho1 0.169 0.337 0.660
Ho2 0.169 0.831 0.660
Ho3 0.663 0.831 0.660
Tm1 0.003 0.501 0.002
Tm2 0.333 0.667 0.331
Tm3 0.334 0.167 0.333
Tm4 0.499 0.501 0.002
Tm5 0.499 0.997 0.002
Tm6 0.833 0.167 0.333
Tm7 0.833 0.666 0.333
# Calculated formation energy, eV per atom: 0.23
# E, eV for the cell shown: -46.7
# Distance to the lowest polymorph of the same formula, eV/f.u.: 0.68
# V, Å³ per atom: 33.4



(10)
# AcHo5Tm (PBE, relaxed)
data_AcHo5Tm
_chemical_formula_sum 'Ac2 Ho10 Tm2'
_cell_length_a 8.551
_cell_length_b 8.551
_cell_length_c 7.016
_cell_angle_alpha 102.37
_cell_angle_beta 102.37
_cell_angle_gamma 99.48
_symmetry_space_group_name_H-M 'P 1'
_symmetry_Int_Tables_number 1
_symmetry_space_group_name_Hall 'P 1'
loop_
_atom_site_label
_atom_site_fract_x
_atom_site_fract_y
_atom_site_fract_z
Ac1 0.156 0.844 0.750
Ac2 0.844 0.156 0.250
Ho1 0.111 0.889 0.250
Ho2 0.237 0.276 0.640
Ho3 0.276 0.237 0.140
Ho4 0.348 0.603 0.466
Ho5 0.397 0.652 0.034
Ho6 0.603 0.348 0.966
Ho7 0.652 0.397 0.534
Ho8 0.724 0.763 0.860
Ho9 0.763 0.724 0.360
Ho10 0.889 0.111 0.750
Tm1 0.000 0.500 0.000
Tm2 0.500 0.000 0.500
# Calculated formation energy, eV per atom: 0.21
# E, eV for the cell shown: -60.0
# V, Å³ per atom: 34.1



(11)
# AcHoTm2 (PBE, relaxed)
data_AcHoTm2
_chemical_formula_sum 'Ac1 Ho1 Tm2'
_cell_length_a 4.102
_cell_length_b 4.102
_cell_length_c 8.113
_cell_angle_alpha 90.00
_cell_angle_beta 90.00
_cell_angle_gamma 90.00
_symmetry_space_group_name_H-M 'P 1'
_symmetry_Int_Tables_number 1
_symmetry_space_group_name_Hall 'P 1'
loop_
_atom_site_label
_atom_site_fract_x
_atom_site_fract_y
_atom_site_fract_z
Ac1 0.000 0.000 0.000
Ho1 0.000 0.000 0.500
Tm1 0.500 0.500 0.276
Tm2 0.500 0.500 0.724
# Calculated formation energy, eV per atom: 0.10
# E, eV for the cell shown: -17.2
# Distance to the lowest polymorph of the same formula, eV/f.u.: 0.18
# V, Å³ per atom: 34.1



(12)
# Ac8HoTm2 (PBE, relaxed)
data_Ac8HoTm2
_chemical_formula_sum 'Ac8 Ho1 Tm2'
_cell_length_a 9.984
_cell_length_b 9.984
_cell_length_c 9.984
_cell_angle_alpha 146.42
_cell_angle_beta 121.99
_cell_angle_gamma 68.73
_symmetry_space_group_name_H-M 'P 1'
_symmetry_Int_Tables_number 1
_symmetry_space_group_name_Hall 'P 1'
loop_
_atom_site_label
_atom_site_fract_x
_atom_site_fract_y
_atom_site_fract_z
Ac1 0.129 0.342 0.787
Ac2 0.146 0.146 0.000
Ac3 0.309 0.000 0.309
Ac4 0.445 0.658 0.787
Ac5 0.555 0.342 0.213
Ac6 0.691 0.000 0.691
Ac7 0.854 0.854 0.000
Ac8 0.871 0.658 0.213
Ho1 0.000 0.500 0.500
Tm1 0.298 0.798 0.500
Tm2 0.702 0.202 0.500
# Calculated formation energy, eV per atom: 0.14
# E, eV for the cell shown: -44.8
# V, Å³ per atom: 41.9